Record 1
V5Fe5Si6: relaxed, PBEsol.

## Properties
* total magnetization: 5.162 μB per formula unit
* space-group type: Amm2
* formation energy (no corrections): -52.68 kJ/mol of atoms
* density: 6.29 g/cm3
* N(E_F): 14.28 states/eV per cell

abc: 4.665 6.739 6.739
angles: 118.84 90.00 90.00
Each line ends with the local moment (μB).
Element x y z (fractional)
V 0.000 0.991 0.770  0.05
Fe 0.750 0.674 0.335  1.08
Si 0.000 0.403 0.009  -0.02
Fe 0.000 0.241 0.241  0.96
Fe 0.750 0.335 0.674  1.08
V 0.500 0.763 0.763  0.04
V 0.500 0.218 0.004  -0.01
Fe 0.250 0.335 0.674  1.08
V 0.500 0.004 0.218  -0.01
V 0.000 0.770 0.991  0.05
Si 0.500 0.002 0.590  -0.02
Fe 0.250 0.674 0.335  1.08
Si 0.500 0.411 0.411  -0.02
Si 0.000 0.009 0.403  -0.02
Si 0.000 0.581 0.581  -0.02
Si 0.500 0.590 0.002  -0.02

***

Record 2
ZrTcPd2Pt: relaxed, PBEsol.

## Properties
* total magnetization: 0.001 μB per formula unit
* space-group type: P4/mmm
* density: 9.80 g/cm3
* N(E_F): 6.54 states/eV per cell

abc: 4.644 4.644 4.692
angles: 90.00 90.00 90.00
Element x y z (fractional)
Zr 0.500 0.500 0.500
Pd 0.000 0.500 0.000
Tc 0.000 0.000 0.000
Pt 0.000 0.000 0.500
Pd 0.500 0.000 0.000

***

Record 3
SrMo2Se: relaxed, PBEsol.

## Properties
* total magnetization: 0.000 μB per formula unit
* space-group type: Pmmm
* formation energy (no corrections): 55.51 kJ/mol of atoms
* density: 7.63 g/cm3
* N(E_F): 4.11 states/eV per cell

abc: 3.413 4.370 5.229
angles: 90.00 90.00 90.00
Element x y z (fractional)
Mo 0.500 0.500 0.000
Se 0.500 0.000 0.500
Mo 0.000 0.000 0.000
Sr 0.000 0.500 0.500

***

In eV/atom, the VASP energy values for the records above are, in order, -8.513, -6.939, -6.731.